Entry one
{"formula": "Sm2Dy", "functional": "PBE", "state": "relaxed", "crystal_system": "tetragonal", "mass_density_g_cm3": 7.6, "lattice_angstrom": [[-0.596, 0.834, -3.344], [1.065, -3.183, -0.983], [-15.714, -4.425, 3.527]], "species": ["Sm", "Sm", "Dy", "Sm", "Sm", "Dy"], "fractional_positions": [[0.578, 0.578, 0.156], [0.828, 0.328, 0.656], [0.000, 0.000, 0.000], [0.422, 0.422, 0.844], [0.672, 0.172, 0.344], [0.250, 0.750, 0.500]]}


Entry two
{"formula": "Sm2Dy", "functional": "PBE", "state": "relaxed", "crystal_system": "cubic", "mass_density_g_cm3": 7.5, "lattice_angstrom": [[6.629, 0.000, 0.000], [3.314, 5.740, 0.000], [3.314, 1.913, 5.412]], "species": ["Sm", "Dy", "Dy", "Sm", "Sm", "Sm"], "fractional_positions": [[0.625, 0.125, 0.625], [0.250, 0.250, 0.250], [0.000, 0.000, 0.000], [0.125, 0.625, 0.625], [0.625, 0.625, 0.625], [0.625, 0.625, 0.125]]}


Entry three
{"formula": "Sm2Dy", "functional": "PBE", "state": "relaxed", "crystal_system": "tetragonal", "mass_density_g_cm3": 7.8, "lattice_angstrom": [[3.599, 0.000, 0.000], [0.000, 3.599, 0.000], [-1.799, -1.799, 7.639]], "species": ["Sm", "Sm", "Dy"], "fractional_positions": [[0.334, 0.334, 0.669], [0.666, 0.666, 0.331], [0.000, 0.000, 0.000]]}


Among the structures shown above, entry three is the most stable, with the second-best lying 0.121 eV/atom higher.